A relaxed structure of Tb3Y7Er. Source: Alexandria via LeMat-Bulk, functional PBE.

Results
Energy relative to the elements = 195 meV per atom
Polymorph energy (0 for the lowest one) = 0.0491 eV per atom
VASP energy = -5.596 eV per atom

The structure in CIF format:
```
data_Tb3Y7Er
_chemical_formula_sum 'Tb3 Y7 Er1'
_symmetry_space_group_name_H-M 'P 3 m 1'
_symmetry_Int_Tables_number 156
_cell_length_a 7.0797
_cell_length_b 7.0797
_cell_length_c 8.6016
_cell_angle_alpha 90.00
_cell_angle_beta 90.00
_cell_angle_gamma 120.00
loop_
_symmetry_equiv_pos_as_xyz
'x,y,z'
'-y,x-y,z'
'-x+y,-x,z'
'-y,-x,z'
'-x+y,y,z'
'x,x-y,z'
loop_
_atom_site_label
_atom_site_type_symbol
_atom_site_fract_x
_atom_site_fract_y
_atom_site_fract_z
_atom_site_occupancy
Tb1 Tb 0.0007 0.5003 0.0000 1
Y1 Y 0.1680 0.3360 0.6648 1
Y2 Y 0.3354 0.1677 0.3327 1
Y3 Y 0.6667 0.3333 0.6640 1
Er1 Er 0.3333 0.6667 0.3347 1
```

A relaxed structure of RbIn12Ag7. Source: Alexandria via LeMat-Bulk, functional PBE.

Results
Energy relative to the elements = 7 meV per atom
VASP energy = -2.682 eV per atom

The structure in CIF format:
```
data_RbIn12Ag7
_chemical_formula_sum 'Rb3 In36 Ag21'
_symmetry_space_group_name_H-M 'R -3'
_symmetry_Int_Tables_number 148
_symmetry_space_group_name_Hall '-R 3'
_cell_length_a 14.4083
_cell_length_b 14.4083
_cell_length_c 8.2639
_cell_angle_alpha 90.00
_cell_angle_beta 90.00
_cell_angle_gamma 120.00
loop_
_atom_site_label
_atom_site_type_symbol
_atom_site_fract_x
_atom_site_fract_y
_atom_site_fract_z
_atom_site_occupancy
Rb1 Rb 0.0000 0.0000 0.0000 1
In1 In 0.9996 0.2592 0.9990 1
In2 In 0.1085 0.8903 0.3653 1
Ag1 Ag 0.0000 0.0000 0.5000 1
Ag2 Ag 0.1037 0.5525 0.3915 1
```

A relaxed structure of CsKAsSe2. Source: Alexandria via LeMat-Bulk, functional PBE.

Results
Polymorph energy (0 for the lowest one) = 0.0000 eV per atom
VASP energy = -3.251 eV per atom

The structure in CIF format:
```
data_CsKAsSe2
_chemical_formula_sum 'Cs4 K4 As4 Se8'
_symmetry_space_group_name_H-M 'C m m e'
_symmetry_Int_Tables_number 67
_symmetry_space_group_name_Hall '-C 2a 2'
_cell_length_a 7.0658
_cell_length_b 13.6119
_cell_length_c 6.8283
_cell_angle_alpha 90.00
_cell_angle_beta 90.00
_cell_angle_gamma 90.00
loop_
_atom_site_label
_atom_site_type_symbol
_atom_site_fract_x
_atom_site_fract_y
_atom_site_fract_z
_atom_site_occupancy
Cs1 Cs 0.0000 0.2500 0.2489 1
K1 K 0.2500 0.0000 0.5000 1
As1 As 0.0000 0.0000 0.0000 1
Se1 Se 0.0000 0.1532 0.7659 1
```

A relaxed structure of In2IrPt. Source: Alexandria via LeMat-Bulk, functional PBE.

Results
Energy relative to the elements = -34 meV per atom
Polymorph energy (0 for the lowest one) = 0.1880 eV per atom
VASP energy = -5.129 eV per atom

The structure in CIF format:
```
data_In2IrPt
_chemical_formula_sum 'In2 Ir1 Pt1'
_symmetry_space_group_name_H-M 'P 4 m m'
_symmetry_Int_Tables_number 99
_cell_length_a 3.6397
_cell_length_b 3.6397
_cell_length_c 5.6537
_cell_angle_alpha 90.00
_cell_angle_beta 90.00
_cell_angle_gamma 90.00
loop_
_symmetry_equiv_pos_as_xyz
'x,y,z'
'-y,x,z'
'-x,-y,z'
'y,-x,z'
'-x,y,z'
'y,x,z'
'x,-y,z'
'-y,-x,z'
loop_
_atom_site_label
_atom_site_type_symbol
_atom_site_fract_x
_atom_site_fract_y
_atom_site_fract_z
_atom_site_occupancy
In1 In 0.0000 0.0000 0.0000 1
In2 In 0.5000 0.5000 0.3298 1
Ir1 Ir 0.0000 0.0000 0.5019 1
Pt1 Pt 0.5000 0.5000 0.8219 1
```

A relaxed structure of K2Tl2Au. Source: Alexandria via LeMat-Bulk, functional PBE.

Results
Energy relative to the elements = -79 meV per atom
Polymorph energy (0 for the lowest one) = 0.0827 eV per atom
VASP energy = -2.120 eV per atom

The structure in CIF format:
```
data_K2Tl2Au
_chemical_formula_sum 'K8 Tl8 Au4'
_symmetry_space_group_name_H-M 'I 41/a m d'
_symmetry_Int_Tables_number 141
_cell_length_a 5.1074
_cell_length_b 5.1074
_cell_length_c 29.4648
_cell_angle_alpha 90.00
_cell_angle_beta 90.00
_cell_angle_gamma 90.00
loop_
_symmetry_equiv_pos_as_xyz
'x,y,z'
'-x,-y,-z'
'-y+1/4,x+3/4,z+1/4'
'y+1/4,-x+3/4,-z+1/4'
'-x+1/2,-y,z+1/2'
'x+1/2,y,-z+1/2'
'y+1/4,-x+1/4,z+3/4'
'-y+1/4,x+1/4,-z+3/4'
'x,-y,-z'
'-x,y,z'
'-y+1/4,-x+1/4,-z+3/4'
'y+1/4,x+1/4,z+3/4'
'-x+1/2,y,-z+1/2'
'x+1/2,-y,z+1/2'
'y+1/4,x+3/4,-z+1/4'
'-y+1/4,-x+3/4,z+1/4'
'x+1/2,y+1/2,z+1/2'
'-x+1/2,-y+1/2,-z+1/2'
'-y+3/4,x+1/4,z+3/4'
'y+3/4,-x+1/4,-z+3/4'
'-x,-y+1/2,z'
'x,y+1/2,-z'
'y+3/4,-x+3/4,z+1/4'
'-y+3/4,x+3/4,-z+1/4'
'x+1/2,-y+1/2,-z+1/2'
'-x+1/2,y+1/2,z+1/2'
'-y+3/4,-x+3/4,-z+1/4'
'y+3/4,x+3/4,z+1/4'
'-x,y+1/2,-z'
'x,-y+1/2,z'
'y+3/4,x+1/4,-z+3/4'
'-y+3/4,-x+1/4,z+3/4'
loop_
_atom_site_label
_atom_site_type_symbol
_atom_site_fract_x
_atom_site_fract_y
_atom_site_fract_z
_atom_site_occupancy
K1 K 0.0000 0.2500 0.0490 1
Tl1 Tl 0.0000 0.2500 0.1726 1
Au1 Au 0.0000 0.2500 0.3750 1
```

A relaxed structure of Cd2SnHg2. Source: Alexandria via LeMat-Bulk, functional PBE.

Results
Energy relative to the elements = 113 meV per atom
Polymorph energy (0 for the lowest one) = 0.0655 eV per atom
VASP energy = -1.174 eV per atom

The structure in CIF format:
```
data_Cd2SnHg2
_chemical_formula_sum 'Cd4 Sn2 Hg4'
_symmetry_space_group_name_H-M 'I 4/m m m'
_symmetry_Int_Tables_number 139
_symmetry_space_group_name_Hall '-I 4 2'
_cell_length_a 4.2266
_cell_length_b 4.2266
_cell_length_c 14.4157
_cell_angle_alpha 90.00
_cell_angle_beta 90.00
_cell_angle_gamma 90.00
loop_
_atom_site_label
_atom_site_type_symbol
_atom_site_fract_x
_atom_site_fract_y
_atom_site_fract_z
_atom_site_occupancy
Cd1 Cd 0.0000 0.5000 0.2500 1
Sn1 Sn 0.0000 0.0000 0.0000 1
Hg1 Hg 0.0000 0.0000 0.3994 1
```

A relaxed structure of Tm7MgIn2. Source: Alexandria via LeMat-Bulk, functional PBE.

Results
Energy relative to the elements = 679 meV per atom
VASP energy = -3.159 eV per atom

The structure in CIF format:
```
data_Tm7MgIn2
_chemical_formula_sum 'Tm28 Mg4 In8'
_symmetry_space_group_name_H-M 'F m -3 m'
_symmetry_Int_Tables_number 225
_symmetry_space_group_name_Hall '-F 4 2 3'
_cell_length_a 10.9561
_cell_length_b 10.9561
_cell_length_c 10.9561
_cell_angle_alpha 90.00
_cell_angle_beta 90.00
_cell_angle_gamma 90.00
loop_
_atom_site_label
_atom_site_type_symbol
_atom_site_fract_x
_atom_site_fract_y
_atom_site_fract_z
_atom_site_occupancy
Tm1 Tm 0.0000 0.0000 0.0000 1
Tm2 Tm 0.0000 0.0000 0.2516 1
Mg1 Mg 0.0000 0.0000 0.5000 1
In1 In 0.2500 0.2500 0.2500 1
```

A relaxed structure of Ba2SrSn2. Source: Alexandria via LeMat-Bulk, functional PBE.

Results
Energy relative to the elements = -590 meV per atom
Polymorph energy (0 for the lowest one) = 0.0000 eV per atom
VASP energy = -3.297 eV per atom

The structure in CIF format:
```
data_Ba2SrSn2
_chemical_formula_sum 'Ba4 Sr2 Sn4'
_symmetry_space_group_name_H-M 'P 4/m b m'
_symmetry_Int_Tables_number 127
_symmetry_space_group_name_Hall '-P 4 2ab'
_cell_length_a 8.9208
_cell_length_b 8.9208
_cell_length_c 5.2306
_cell_angle_alpha 90.00
_cell_angle_beta 90.00
_cell_angle_gamma 90.00
loop_
_atom_site_label
_atom_site_type_symbol
_atom_site_fract_x
_atom_site_fract_y
_atom_site_fract_z
_atom_site_occupancy
Ba1 Ba 0.1697 0.3303 0.0000 1
Sr1 Sr 0.0000 0.0000 0.5000 1
Sn1 Sn 0.1188 0.6188 0.5000 1
```

A relaxed structure of ReMo2Pb. Source: Alexandria via LeMat-Bulk, functional PBE.

Results
Energy relative to the elements = 744 meV per atom
VASP energy = -8.710 eV per atom

The structure in CIF format:
```
data_ReMo2Pb
_chemical_formula_sum 'Re2 Mo4 Pb2'
_symmetry_space_group_name_H-M 'C m m m'
_symmetry_Int_Tables_number 65
_symmetry_space_group_name_Hall '-C 2 2'
_cell_length_a 5.6038
_cell_length_b 8.1523
_cell_length_c 3.0336
_cell_angle_alpha 90.00
_cell_angle_beta 90.00
_cell_angle_gamma 90.00
loop_
_atom_site_label
_atom_site_type_symbol
_atom_site_fract_x
_atom_site_fract_y
_atom_site_fract_z
_atom_site_occupancy
Re1 Re 0.0000 0.0000 0.0000 1
Mo1 Mo 0.2500 0.2500 0.5000 1
Pb1 Pb 0.0000 0.5000 0.0000 1
```

A relaxed structure of LaMg2Mo. Source: Alexandria via LeMat-Bulk, functional PBE.

Results
Energy relative to the elements = 573 meV per atom
Polymorph energy (0 for the lowest one) = 0.2749 eV per atom
VASP energy = -4.164 eV per atom

The structure in CIF format:
```
data_LaMg2Mo
_chemical_formula_sum 'La1 Mg2 Mo1'
_symmetry_space_group_name_H-M 'P 4/m m m'
_symmetry_Int_Tables_number 123
_symmetry_space_group_name_Hall '-P 4 2'
_cell_length_a 5.2779
_cell_length_b 5.2779
_cell_length_c 3.2243
_cell_angle_alpha 90.00
_cell_angle_beta 90.00
_cell_angle_gamma 90.00
loop_
_atom_site_label
_atom_site_type_symbol
_atom_site_fract_x
_atom_site_fract_y
_atom_site_fract_z
_atom_site_occupancy
La1 La 0.0000 0.0000 0.0000 1
Mg1 Mg 0.0000 0.5000 0.5000 1
Mo1 Mo 0.5000 0.5000 0.0000 1
```

A relaxed structure of Ac5La4Mg2. Source: Alexandria via LeMat-Bulk, functional PBE.

Results
Energy relative to the elements = 16 meV per atom
VASP energy = -3.933 eV per atom

The structure in CIF format:
```
data_Ac5La4Mg2
_chemical_formula_sum 'Ac10 La8 Mg4'
_symmetry_space_group_name_H-M 'P b a m'
_symmetry_Int_Tables_number 55
_cell_length_a 9.6516
_cell_length_b 22.5747
_cell_length_c 3.9316
_cell_angle_alpha 90.00
_cell_angle_beta 90.00
_cell_angle_gamma 90.00
loop_
_symmetry_equiv_pos_as_xyz
'x,y,z'
'-x,-y,-z'
'-x,-y,z'
'x,y,-z'
'x+1/2,-y+1/2,-z'
'-x+1/2,y+1/2,z'
'-x+1/2,y+1/2,-z'
'x+1/2,-y+1/2,z'
loop_
_atom_site_label
_atom_site_type_symbol
_atom_site_fract_x
_atom_site_fract_y
_atom_site_fract_z
_atom_site_occupancy
Ac1 Ac 0.0000 0.0000 0.0000 1
Ac2 Ac 0.1278 0.4325 0.0000 1
Ac3 Ac 0.2484 0.2216 0.0000 1
La1 La 0.0661 0.8533 0.5000 1
La2 La 0.2203 0.5778 0.5000 1
Mg1 Mg 0.0381 0.3100 0.5000 1
```

A relaxed structure of Pm3PrEr2S6. Source: Alexandria via LeMat-Bulk, functional PBE.

Results
VASP energy = -6.416 eV per atom

The structure in CIF format:
```
data_Pm3PrEr2S6
_chemical_formula_sum 'Pm6 Pr2 Er4 S12'
_symmetry_space_group_name_H-M 'C 1 2/m 1'
_symmetry_Int_Tables_number 12
_cell_length_a 6.8963
_cell_length_b 11.9771
_cell_length_c 6.9233
_cell_angle_alpha 90.00
_cell_angle_beta 109.45
_cell_angle_gamma 90.00
loop_
_symmetry_equiv_pos_as_xyz
'x,y,z'
'-x,-y,-z'
'-x,y,-z'
'x,-y,z'
'x+1/2,y+1/2,z'
'-x+1/2,-y+1/2,-z'
'-x+1/2,y+1/2,-z'
'x+1/2,-y+1/2,z'
loop_
_atom_site_label
_atom_site_type_symbol
_atom_site_fract_x
_atom_site_fract_y
_atom_site_fract_z
_atom_site_occupancy
Pm1 Pm 0.0000 0.0000 0.0000 1
Pm2 Pm 0.0000 0.3397 0.0000 1
Pr1 Pr 0.0000 0.5000 0.5000 1
Er1 Er 0.0000 0.1660 0.5000 1
S1 S 0.2325 0.0000 0.7375 1
S2 S 0.2458 0.1735 0.2574 1
```

Question: Which value of VASP energy does entry 1 give?
Answer: -5.596 eV per atom

What did the tenth record say?
A relaxed structure of LaMg2Mo. Source: Alexandria via LeMat-Bulk, functional PBE.

Results
Energy relative to the elements = 573 meV per atom
Polymorph energy (0 for the lowest one) = 0.2749 eV per atom
VASP energy = -4.164 eV per atom

The structure in CIF format:
```
data_LaMg2Mo
_chemical_formula_sum 'La1 Mg2 Mo1'
_symmetry_space_group_name_H-M 'P 4/m m m'
_symmetry_Int_Tables_number 123
_symmetry_space_group_name_Hall '-P 4 2'
_cell_length_a 5.2779
_cell_length_b 5.2779
_cell_length_c 3.2243
_cell_angle_alpha 90.00
_cell_angle_beta 90.00
_cell_angle_gamma 90.00
loop_
_atom_site_label
_atom_site_type_symbol
_atom_site_fract_x
_atom_site_fract_y
_atom_site_fract_z
_atom_site_occupancy
La1 La 0.0000 0.0000 0.0000 1
Mg1 Mg 0.0000 0.5000 0.5000 1
Mo1 Mo 0.5000 0.5000 0.0000 1
```

Question: What is the VASP energy in the first record?
Answer: -5.596 eV per atom